# 1
Computed, not measured: a relaxed NaPuSn2Cl8 crystal at the PBE-GGA level of DFT.

a = 6.4996 Å, b = 6.7352 Å, c = 8.6206 Å
α = 89.86°, β = 89.96°, γ = 88.86°
Closest atoms and distances in Å follow each position.
Space group P-1 (No. 2)
Asymmetric unit:
Na 0.0000 0.0000 0.0000 [1 per cell]  6 Cl 2.85-2.94
Pu 0.0000 0.0000 0.5000 [1 per cell]  6 Cl 2.73-2.74
Sn 0.4990 0.5024 0.7593 [2 per cell]  5 Cl 2.64-2.88
Cl 0.2034 0.8197 0.2582 [2 per cell]  1 Pu 2.74, 1 Na 2.85, 1 Sn 2.88
Cl 0.2284 0.8462 0.7411 [2 per cell]  1 Pu 2.74, 1 Na 2.86, 1 Sn 2.88
Cl 0.2579 0.3130 0.4743 [2 per cell]  1 Pu 2.73, 1 Sn 2.86
Cl 0.2862 0.3309 0.0186 [2 per cell]  2 Sn 2.64-2.88, 1 Na 2.94

Computed properties:
DOS at the Fermi energy (states/eV per atom): 0.803
Energy relative to the elements, uncorrected (eV/atom): -1.427

# 2
Computed, not measured: a relaxed Tm2LuOs crystal at the PBE-GGA level of DFT.

a = 3.3635 Å, b = 3.3635 Å, c = 32.0596 Å
α = 90.00°, β = 90.00°, γ = 120.00°
Closest atoms and distances in Å follow each position.
Space group R-3m (No. 166, hexagonal axes)
Asymmetric unit:
Tm 0.0000 0.0000 0.1038 [6 per cell]  3 Os 2.80
Lu 0.0000 0.0000 0.0000 [3 per cell]  2 Tm 3.33, 6 Lu 3.36
Os 0.0000 0.0000 0.5000 [3 per cell]  6 Tm 2.80

Computed properties:
Calculated formation energy (eV/f.u.): 0.92
DOS at the Fermi energy (states/eV per atom): 1.524
Energy above the lowest structure with this stoichiometry (eV per atom): 0.378

# 3
Computed, not measured: a relaxed LiLaTa2 crystal at the PBE-GGA level of DFT.

a = 6.8903 Å, b = 6.8903 Å, c = 6.8903 Å
α = 90.00°, β = 90.00°, γ = 90.00°
Closest atoms and distances in Å follow each position.
Space group F-43m (No. 216)
Asymmetric unit:
Li 0.0000 0.0000 0.0000 [4 per cell]  4 La 2.98, 4 Ta 2.98
La 0.2500 0.2500 0.7500 [4 per cell]  4 Ta 2.98, 4 Li 2.98
Ta 0.0000 0.0000 0.5000 [4 per cell]  4 Ta 2.98, 4 La 2.98
Ta 0.2500 0.2500 0.2500 [4 per cell]  4 Ta 2.98, 4 Li 2.98

Computed properties:
Calculated formation energy (eV/f.u.): 1.66
DOS at the Fermi energy (states/eV per atom): 0.113
Energy above the lowest structure with this stoichiometry (eV per atom): 0.072

# 4
Computed, not measured: a relaxed BHBr crystal at the PBE-GGA level of DFT.

a = 6.2893 Å, b = 6.5898 Å, c = 6.2389 Å
α = 90.00°, β = 119.52°, γ = 90.00°
Closest atoms and distances in Å follow each position.
Space group P2_1/c (No. 14)
Asymmetric unit:
B 0.0248 0.1228 0.4772 [4 per cell]  1 H 1.20
H 0.2206 0.2018 0.5559 [4 per cell]  1 B 1.20
Br 0.1760 0.6806 0.4029 [4 per cell]  2 B 2.10-2.18

Computed properties:
DOS at the Fermi energy (states/eV per atom): 0.000
Energy above the lowest structure with this stoichiometry (eV per atom): 0.000

# 5
Computed, not measured: a relaxed Al2SnIrPt crystal at the PBE-GGA level of DFT.

a = 4.6377 Å, b = 4.6377 Å, c = 5.1401 Å
α = 90.00°, β = 90.00°, γ = 90.00°
Closest atoms and distances in Å follow each position.
Space group P4/mmm (No. 123)
Asymmetric unit:
Al 0.0000 0.5000 0.0000 [2 per cell]  2 Pt 2.32
Sn 0.0000 0.0000 0.5000 [1 per cell]  4 Ir 3.28, 8 Al 3.46
Ir 0.5000 0.5000 0.5000 [1 per cell]  2 Pt 2.57
Pt 0.5000 0.5000 0.0000 [1 per cell]  4 Al 2.32, 2 Ir 2.57

Computed properties:
Calculated formation energy (eV/f.u.): 1.62
DOS at the Fermi energy (states/eV per atom): 0.976

# 6
Computed, not measured: a relaxed Li2AgHg2 crystal at the PBE-GGA level of DFT.

a = 7.5685 Å, b = 7.5685 Å, c = 3.2160 Å
α = 90.00°, β = 90.00°, γ = 90.00°
Closest atoms and distances in Å follow each position.
Space group P4/mbm (No. 127)
Asymmetric unit:
Li 0.1371 0.3629 0.0000 [4 per cell]  6 Hg 2.71-2.76, 1 Li 2.94, 2 Ag 2.94
Ag 0.0000 0.0000 0.0000 [2 per cell]  4 Li 2.94, 2 Ag 3.22, 8 Hg 3.27
Hg 0.1587 0.6587 0.5000 [4 per cell]  6 Li 2.71-2.76

Computed properties:
Calculated formation energy (eV/f.u.): -0.95
DOS at the Fermi energy (states/eV per atom): 0.298
Energy above the lowest structure with this stoichiometry (eV per atom): 0.061

# 7
Computed, not measured: a relaxed CrTc4Rh crystal at the PBE-GGA level of DFT.

a = 7.1454 Å, b = 7.1454 Å, c = 7.1454 Å
α = 90.00°, β = 90.00°, γ = 90.00°
Closest atoms and distances in Å follow each position.
Space group F-43m (No. 216)
Asymmetric unit:
Cr 0.0000 0.0000 0.0000 [4 per cell]  12 Tc 2.96, 4 Rh 3.09
Tc 0.1249 0.1249 0.3751 [16 per cell]  6 Tc 2.52-2.53
Rh 0.2500 0.2500 0.7500 [4 per cell]  12 Tc 2.96, 4 Cr 3.09

Computed properties:
Calculated formation energy (eV/f.u.): 2.14
DOS at the Fermi energy (states/eV per atom): 0.982

# 8
Computed, not measured: a relaxed Li3Ta crystal at the PBE-GGA level of DFT.

a = 2.8342 Å, b = 2.8342 Å, c = 10.4324 Å
α = 90.00°, β = 90.00°, γ = 120.00°
Closest atoms and distances in Å follow each position.
Space group P-6m2 (No. 187)
Asymmetric unit:
Li 0.0000 0.0000 0.0000 [1 per cell]  12 Li 2.83-3.13
Li 0.3333 0.6667 0.2559 [2 per cell]  9 Li 2.83-3.13, 3 Ta 3.03
Ta 0.0000 0.0000 0.5000 [1 per cell]  6 Ta 2.83, 6 Li 3.03

Computed properties:
Calculated formation energy (eV/f.u.): 0.85
DOS at the Fermi energy (states/eV per atom): 0.536
Energy above the lowest structure with this stoichiometry (eV per atom): 0.005

# 9
Computed, not measured: a relaxed ZrGePd3 crystal at the PBE-GGA level of DFT.

a = 4.9207 Å, b = 4.9207 Å, c = 4.9207 Å
α = 90.00°, β = 90.00°, γ = 90.00°
Closest atoms and distances in Å follow each position.
Space group Pm-3m (No. 221)
Asymmetric unit:
Zr 0.0000 0.0000 0.0000 [1 per cell]  6 Pd 2.46
Ge 0.5000 0.5000 0.5000 [1 per cell]  12 Pd 3.48
Pd 0.0000 0.0000 0.5000 [3 per cell]  2 Zr 2.46

Computed properties:
Calculated formation energy (eV/f.u.): 3.44
DOS at the Fermi energy (states/eV per atom): 0.522
Energy above the lowest structure with this stoichiometry (eV per atom): 0.844

# 10
Computed, not measured: a relaxed Li2CuP crystal at the PBE-GGA level of DFT.

a = 2.6014 Å, b = 2.6014 Å, c = 7.7537 Å
α = 90.00°, β = 90.00°, γ = 90.00°
Closest atoms and distances in Å follow each position.
Space group P4/mmm (No. 123)
Asymmetric unit:
Li 0.0000 0.0000 0.2380 [2 per cell]  4 Li 2.60, 4 P 2.61, 4 Cu 2.74
Cu 0.5000 0.5000 0.5000 [1 per cell]  4 Cu 2.60, 8 Li 2.74
P 0.5000 0.5000 0.0000 [1 per cell]  4 P 2.60, 8 Li 2.61

Computed properties:
Calculated formation energy (eV/f.u.): -0.83
DOS at the Fermi energy (states/eV per atom): 0.320

These records have M_tot values of 5.0 0.0 0.0 0.0 0.9 0.0 5.9 0.0 0.0 0.0 Bohr magnetons per cell, in the order they appear.